{
  "formula": "HgBi2OsS",
  "functional": "PBE",
  "state": "optimized geometry",
  "cell": [[-1.2793, 2.7715, 4.7415], [-3.1426, -2.7670, 0.7695], [3.5827, -3.2688, 2.8773]],
  "species": ["Os", "Hg", "S", "Bi", "Bi"],
  "fractional_positions": [[0.0000, 0.5000, 0.0000], [0.5000, 0.5000, 0.5000], [0.0000, 0.0000, 0.0000], [0.0000, 0.0000, 0.5000], [0.5000, 0.0000, 0.0000]],
  "e_tot_ev_per_atom": -3.93,
  "sg": "P4/mmm",
  "raw_formation_energy_mev_per_atom": 758
}

{
  "formula": "Rb2NiBr",
  "functional": "PBE",
  "state": "optimized geometry",
  "cell": [[-2.0173, -5.5339, -1.1329], [-3.6618, -2.7139, 3.8990], [-5.7679, -0.8609, -1.4026]],
  "species": ["Rb", "Rb", "Br", "Ni"],
  "fractional_positions": [[0.2500, 0.2500, 0.2500], [0.7500, 0.7500, 0.7500], [0.5000, 0.5000, 0.5000], [0.0000, 0.0000, 0.0000]],
  "e_tot_ev_per_atom": -2.54,
  "sg": "Fm-3m",
  "raw_formation_energy_mev_per_atom": -194
}

Number 1: spin magnetization 0.00 μB/atom. Number 2: spin magnetization 0.25 μB/atom.